A geometry-optimized Tm2SbPtRh5 structure, computed with PBE-GGA.

a b c (Å): 8.1069 8.1069 7.7407
angles (deg): 121.58 121.58 90.00
Last column: nearest neighbours and their distance in Å.
Fractional positions:
1 Tm 0.1272 0.3728 0.0000  2 Rh 2.49
2 Tm 0.6272 0.1272 0.0000  2 Rh 2.49
3 Tm 0.3728 0.8728 0.0000  2 Rh 2.49
4 Tm 0.8728 0.6272 0.0000  2 Rh 2.49
5 Sb 0.2500 0.2500 0.5000  2 Rh 2.60
6 Sb 0.7500 0.7500 0.5000  2 Rh 2.60
7 Pt 0.2500 0.7500 0.5000  4 Rh 2.52
8 Pt 0.7500 0.2500 0.5000  4 Rh 2.52
9 Rh 0.9421 0.4421 0.2713  1 Tm 2.49, 1 Pt 2.52, 1 Rh 2.71
10 Rh 0.6708 0.1708 0.7287  1 Tm 2.49, 1 Pt 2.52, 1 Rh 2.71
11 Rh 0.0579 0.5579 0.7287  1 Tm 2.49, 1 Pt 2.52, 1 Rh 2.71
12 Rh 0.1708 0.0579 0.7287  1 Tm 2.49, 1 Pt 2.52, 1 Rh 2.71
13 Rh 0.5579 0.6708 0.7287  1 Tm 2.49, 1 Pt 2.52, 1 Rh 2.71
14 Rh 0.8292 0.9421 0.2713  1 Tm 2.49, 1 Pt 2.52, 1 Rh 2.71
15 Rh 0.4421 0.3292 0.2713  1 Tm 2.49, 1 Pt 2.52, 1 Rh 2.71
16 Rh 0.3292 0.8292 0.2713  1 Tm 2.49, 1 Pt 2.52, 1 Rh 2.71
17 Rh 0.5000 0.5000 0.0000  2 Sb 2.60
18 Rh 0.0000 0.0000 0.0000  2 Sb 2.60

Properties
space group	No. 140
mass density	11.4	g/cm3
uncorrected energy	-6.286	eV per atom
formation energy without anion corrections	-79	meV per atom
V	341.9	Å³ per cell



A geometry-optimized ErPuZn10 structure, computed with PBE-GGA.

a b c (Å): 4.2402 5.3091 9.2022
angles (deg): 90.00 90.00 90.00
Last column: nearest neighbours and their distance in Å.
Fractional positions:
1 Er 0.0000 0.5000 0.5000  18 Zn 3.04-3.40
2 Pu 0.0000 0.0000 0.0000  18 Zn 3.08-3.41
3 Zn 0.0000 0.0000 0.3368  6 Zn 2.60-2.62
4 Zn 0.0000 0.5000 0.8302  6 Zn 2.61-2.63
5 Zn 0.0000 0.5000 0.1698  6 Zn 2.61-2.63
6 Zn 0.0000 0.0000 0.6632  6 Zn 2.60-2.62
7 Zn 0.5000 0.0000 0.5000  8 Zn 2.60-2.65
8 Zn 0.5000 0.5000 0.0000  8 Zn 2.63-2.66
9 Zn 0.5000 0.2501 0.2511  8 Zn 2.61-2.66
10 Zn 0.5000 0.7499 0.7489  8 Zn 2.61-2.66
11 Zn 0.5000 0.7499 0.2511  8 Zn 2.61-2.66
12 Zn 0.5000 0.2501 0.7489  8 Zn 2.61-2.66

Properties
space group	No. 47
mass density	8.5	g/cm3
uncorrected energy	-2.824	eV per atom
calculated formation energy	-0.19	eV/atom
V	207.2	Å³ per cell



A geometry-optimized Ca2CeTl5 structure, computed with PBE-GGA.

a b c (Å): 5.2761 5.2761 9.1991
angles (deg): 106.66 106.66 90.00
Last column: nearest neighbours and their distance in Å.
Fractional positions:
1 Ca 0.7488 0.7488 0.4975  8 Tl 3.34-3.37, 4 Ca 3.73
2 Ca 0.2512 0.2512 0.5025  8 Tl 3.34-3.37, 4 Ca 3.73
3 Ce 0.0000 0.0000 0.0000  12 Tl 3.39-3.73
4 Tl 0.5000 0.5000 0.0000  8 Tl 3.39, 4 Ce 3.73
5 Tl 0.8730 0.3730 0.7460  4 Ca 3.34-3.37, 6 Tl 3.39-3.73, 2 Ce 3.39
6 Tl 0.3730 0.8730 0.7460  4 Ca 3.34-3.37, 2 Ce 3.39, 6 Tl 3.39-3.73
7 Tl 0.1270 0.6270 0.2540  4 Ca 3.34-3.37, 6 Tl 3.39-3.73, 2 Ce 3.39
8 Tl 0.6270 0.1270 0.2540  4 Ca 3.34-3.37, 2 Ce 3.39, 6 Tl 3.39-3.73

Properties
space group	No. 139
mass density	8.8	g/cm3
uncorrected energy	-3.000	eV per atom
calculated formation energy	-0.28	eV/atom
V	234.1	Å³ per cell



A geometry-optimized LiCaPrSn structure, computed with PBE-GGA.

a b c (Å): 5.4130 5.4130 5.4130
angles (deg): 60.00 60.00 60.00
Last column: nearest neighbours and their distance in Å.
Fractional positions:
1 Pr 0.0000 0.0000 0.0000  4 Sn 3.31, 4 Li 3.31
2 Ca 0.5000 0.5000 0.5000  4 Sn 3.31, 4 Li 3.31
3 Sn 0.7500 0.7500 0.7500  4 Pr 3.31, 4 Ca 3.31
4 Li 0.2500 0.2500 0.2500  4 Pr 3.31, 4 Ca 3.31

Properties
space group	No. 216
mass density	4.5	g/cm3
uncorrected energy	-3.620	eV per atom
calculated formation energy	-0.45	eV/atom
V	112.2	Å³ per cell



A geometry-optimized YSc2SnCl structure, computed with PBE-GGA.

a b c (Å): 5.5352 5.4685 5.5352
angles (deg): 90.00 90.00 90.00
Last column: nearest neighbours and their distance in Å.
Fractional positions:
1 Y 0.5000 0.5000 0.5000  8 Sc 3.89, 4 Cl 3.91
2 Sc 0.0000 0.0000 0.5000  2 Sn 2.77
3 Sc 0.5000 0.0000 0.0000  2 Sn 2.77
4 Sn 0.0000 0.0000 0.0000  2 Cl 2.73, 4 Sc 2.77
5 Cl 0.0000 0.5000 0.0000  2 Sn 2.73

Properties
space group	No. 123
mass density	3.3	g/cm3
uncorrected energy	-4.665	eV per atom
formation energy without anion corrections	330	meV per atom
V	167.5	Å³ per cell



A geometry-optimized TaTi2Au structure, computed with PBE-GGA.

a b c (Å): 3.2698 3.2698 6.4453
angles (deg): 90.00 90.00 90.00
Last column: nearest neighbours and their distance in Å.
Fractional positions:
1 Ti 0.0000 0.0000 0.7568  4 Ta 2.79, 4 Au 2.84
2 Ti 0.0000 0.0000 0.2432  4 Ta 2.79, 4 Au 2.84
3 Au 0.5000 0.5000 0.5000  8 Ti 2.84
4 Ta 0.5000 0.5000 0.0000  8 Ti 2.79

Properties
space group	No. 123
mass density	11.4	g/cm3
uncorrected energy	-7.968	eV per atom
calculated formation energy	-0.24	eV/atom
V	68.9	Å³ per cell



A geometry-optimized HgGeB2 structure, computed with PBE-GGA.

a b c (Å): 4.3539 4.3539 4.3539
angles (deg): 60.00 60.00 60.00
Last column: nearest neighbours and their distance in Å.
Fractional positions:
1 Ge 0.0000 0.0000 0.0000  8 B 2.67
2 B 0.2500 0.2500 0.2500  4 Hg 2.67, 4 Ge 2.67
3 B 0.7500 0.7500 0.7500  4 Hg 2.67, 4 Ge 2.67
4 Hg 0.5000 0.5000 0.5000  8 B 2.67

Properties
space group	No. 225
mass density	8.4	g/cm3
uncorrected energy	-2.909	eV per atom
calculated formation energy	1.66	eV/atom
V	58.4	Å³ per cell